(1)
Here is a geometry-optimized TaIr structure from the Alexandria database. Energies are from GGA-PBEsol.

Cell and atoms, written as CIF:
```
data_TaIr
_chemical_formula_sum 'Ta4 Ir4'
_cell_length_a 5.1673
_cell_length_b 4.4657
_cell_length_c 5.5084
_cell_angle_alpha 90.00
_cell_angle_beta 90.00
_cell_angle_gamma 90.00
_space_group_name_H-M_alt 'P n m a'
_space_group_IT_number 62
loop_
_space_group_symop_operation_xyz
'x,y,z'
'-x,-y,-z'
'-x+1/2,-y,z+1/2'
'x+1/2,y,-z+1/2'
'x+1/2,-y+1/2,-z+1/2'
'-x+1/2,y+1/2,z+1/2'
'-x,y+1/2,-z'
'x,-y+1/2,z'
loop_
_atom_site_label
_atom_site_type_symbol
_atom_site_fract_x
_atom_site_fract_y
_atom_site_fract_z
Ta1 Ta 0.1382 0.2500 0.1162
Ir1 Ir 0.0792 0.2500 0.6359
```

As for the total energy: -94.002 eV/cell. The energy relative to the elements is -1.13 eV/f.u. The density comes out at 19.50 g cm⁻³.

=====

(2)
Here is a geometry-optimized TaIr structure from the Alexandria database. Energies are from GGA-PBEsol.

Cell and atoms, written as CIF:
```
data_TaIr
_chemical_formula_sum 'Ta2 Ir2'
_cell_length_a 4.5963
_cell_length_b 2.8156
_cell_length_c 4.8490
_cell_angle_alpha 90.00
_cell_angle_beta 90.00
_cell_angle_gamma 90.00
_space_group_name_H-M_alt 'P m m a'
_space_group_IT_number 51
loop_
_space_group_symop_operation_xyz
'x,y,z'
'-x,-y,-z'
'-x+1/2,-y,z'
'x+1/2,y,-z'
'x+1/2,-y,-z'
'-x+1/2,y,z'
'-x,y,-z'
'x,-y,z'
loop_
_atom_site_label
_atom_site_type_symbol
_atom_site_fract_x
_atom_site_fract_y
_atom_site_fract_z
Ta1 Ta 0.2500 0.0000 0.1960
Ir1 Ir 0.2500 0.5000 0.6890
```

As for the total energy: -46.994 eV/cell. The energy relative to the elements is -1.12 eV/f.u. The density comes out at 19.75 g cm⁻³.

=====

(3)
Here is a geometry-optimized Ta3Ir2 structure from the Alexandria database. Energies are from GGA-PBEsol.

Cell and atoms, written as CIF:
```
data_Ta3Ir2
_chemical_formula_sum 'Ta18 Ir12'
_cell_length_a 9.7967
_cell_length_b 9.7967
_cell_length_c 5.0620
_cell_angle_alpha 90.00
_cell_angle_beta 90.00
_cell_angle_gamma 90.00
_space_group_name_H-M_alt 'P 42/m n m'
_space_group_IT_number 136
_space_group_name_Hall '-P 4n 2n'
loop_
_atom_site_label
_atom_site_type_symbol
_atom_site_fract_x
_atom_site_fract_y
_atom_site_fract_z
Ta1 Ta 0.0000 0.0000 0.0000
Ta2 Ta 0.0397 0.3639 0.5000
Ta3 Ta 0.1802 0.8198 0.2517
Ir1 Ir 0.0715 0.2680 0.0000
Ir2 Ir 0.0986 0.0986 0.5000
```

As for the total energy: -357.839 eV/cell. The energy relative to the elements is -2.34 eV/f.u. The density comes out at 19.02 g cm⁻³.

=====

(4)
Here is a geometry-optimized Ta3Ir structure from the Alexandria database. Energies are from GGA-PBEsol.

Cell and atoms, written as CIF:
```
data_Ta3Ir
_chemical_formula_sum 'Ta3 Ir1'
_cell_length_a 2.8426
_cell_length_b 2.8426
_cell_length_c 9.5967
_cell_angle_alpha 90.00
_cell_angle_beta 90.00
_cell_angle_gamma 120.00
_space_group_name_H-M_alt 'P -6 m 2'
_space_group_IT_number 187
_space_group_name_Hall 'P -6 2'
loop_
_atom_site_label
_atom_site_type_symbol
_atom_site_fract_x
_atom_site_fract_y
_atom_site_fract_z
Ta1 Ta 0.0000 0.0000 0.0000
Ta2 Ta 0.6667 0.3333 0.2653
Ir1 Ir 0.0000 0.0000 0.5000
```

As for the total energy: -47.520 eV/cell. The energy relative to the elements is -0.04 eV/f.u. The density comes out at 18.18 g cm⁻³.